14
Lattice="5.4633 0.0000 -0.9629 0.0000 5.7873 0.0000 -3.3853 0.0000 8.7625" Properties=species:S:1:pos:R:3 comment="CsCaSO4 | the Alexandria database | GGA-PBE | relaxed" spacegroup="P2_1/m (11)" total_energy_ev_per_atom=-5.5885 pbc="T T T"
Cs 0.4306 4.3404 7.0955
Cs 1.6474 1.4468 0.7041
Ca 2.5805 4.3404 3.3975
Ca -0.5024 1.4468 4.4021
S -0.4379 4.3404 2.5970
S 2.5159 1.4468 5.2026
O -2.0280 2.7537 5.9170
O 4.1060 5.6473 1.8826
O 4.1060 3.0336 1.8826
O -2.0280 0.1399 5.9170
O 0.9407 4.3404 1.6979
O 1.1373 1.4468 6.1017
O 0.2864 4.3404 3.9964
O 1.7916 1.4468 3.8032